[1]
The following is a PBE-GGA calculation of CsAcTa after structural relaxation, from OQMD via LeMat-Bulk.

Cell and atoms, written as extended XYZ:
```
3
Lattice="-3.885 -2.625 3.323 -2.461 2.849 4.342 -5.538 1.501 -0.320" Properties=species:S:1:pos:R:3 pbc="T T T"
Ac 0.000 0.000 0.000
Cs -2.971 0.431 1.836
Ta -8.913 1.294 5.509
```

Computed properties:
Energy relative to the lowest polymorph listed for this composition, eV/atom: 0.000

[2]
The following is a PBE-GGA calculation of CsAcTbTe3 after structural relaxation, from OQMD via LeMat-Bulk.

Cell and atoms, written as extended XYZ:
```
12
Lattice="5.005 0.000 0.000 -2.502 8.677 0.000 0.000 0.000 12.770" Properties=species:S:1:pos:R:3 pbc="T T T"
Ac 0.000 0.000 0.000
Ac 0.000 0.000 6.385
Cs 0.000 4.485 3.193
Cs 2.502 4.193 9.578
Tb 2.502 0.564 3.193
Tb 0.000 8.113 9.578
Te 2.502 2.193 0.735
Te 2.502 7.582 3.193
Te 2.502 2.193 5.650
Te 0.000 6.485 7.120
Te 0.000 1.095 9.578
Te 0.000 6.485 12.035
```

Computed properties:
Total DFT energy (no corrections), eV per formula unit: -26.79

[3]
The following is a PBE-GGA calculation of CsAcTh after structural relaxation, from OQMD via LeMat-Bulk.

Cell and atoms, written as extended XYZ:
```
3
Lattice="-3.110 0.577 5.201 -5.980 -1.130 0.111 -2.110 -4.948 2.849" Properties=species:S:1:pos:R:3 pbc="T T T"
Ac 0.000 0.000 0.000
Cs -2.800 -1.375 2.040
Th -8.400 -4.126 6.121
```

Computed properties:
Energy relative to the lowest polymorph listed for this composition, eV/atom: 0.753